1.
The following is a DFT calculation (meta-GGA SCAN) of a PBEsol-optimized structure of LiBe2Ru2.

Output
D(E_F)   2.73 states/eV/f.u.
SG   P4/mbm
Energy relative to the elements   -280 meV/atom

a b c (Å): 3.074 5.809 5.809
angles (deg): 90.00 90.00 90.00
Sites, in units of the cell vectors:
1 Ru 0.500 0.172 0.672
2 Ru 0.500 0.672 0.828
3 Ru 0.500 0.828 0.328
4 Ru 0.500 0.328 0.172
5 Li 0.000 0.000 0.000
6 Li 0.000 0.500 0.500
7 Be 0.000 0.375 0.875
8 Be 0.000 0.875 0.625
9 Be 0.000 0.625 0.125
10 Be 0.000 0.125 0.375

=====

2.
The following is a DFT calculation (meta-GGA SCAN) of a PBEsol-optimized structure of LiBeRu.

Output
D(E_F)   2.02 states/eV/f.u.
SG   F-43m
Energy relative to the elements   757 meV/atom

a b c (Å): 3.804 3.804 3.804
angles (deg): 60.00 60.00 60.00
Last column: magnetic moment on the atom in μB.
Sites, in units of the cell vectors:
1 Ru 0.250 0.250 0.250  0.98
2 Be 0.000 0.000 0.000  -0.02
3 Li 0.500 0.500 0.500  -0.01

=====

3.
The following is a DFT calculation (meta-GGA SCAN) of a PBEsol-optimized structure of LiBeRu2.

Output
D(E_F)   2.61 states/eV/f.u.
SG   Pmmm
Energy relative to the elements   120 meV/atom

a b c (Å): 2.743 4.030 4.305
angles (deg): 90.00 90.00 90.00
Sites, in units of the cell vectors:
1 Be 0.500 0.500 0.000
2 Li 0.000 0.500 0.500
3 Ru 0.000 0.000 0.000
4 Ru 0.500 0.000 0.500

=====

4.
The following is a DFT calculation (meta-GGA SCAN) of a PBEsol-optimized structure of Li2BeSb2.

Output
D(E_F)   1.73 states/eV/f.u.
SG   P4/mbm
Raw formation energy   0.605 eV per formula unit

a b c (Å): 3.042 7.852 7.852
angles (deg): 90.00 90.00 90.00
Sites, in units of the cell vectors:
1 Sb 0.500 0.191 0.691
2 Sb 0.500 0.691 0.809
3 Sb 0.500 0.809 0.309
4 Sb 0.500 0.309 0.191
5 Li 0.000 0.388 0.888
6 Li 0.000 0.888 0.612
7 Li 0.000 0.612 0.112
8 Li 0.000 0.112 0.388
9 Be 0.000 0.000 0.000
10 Be 0.000 0.500 0.500